1.
A plane-wave DFT calculation with GGA-PBE was carried out for an optimized crystal structure of NdTmS2.

The space group is No. 160. As for the energy above the most stable polymorph in this dataset: 0.29 eV per formula unit. The calculation puts the formation energy from raw total energies at -1.918 eV/atom. The calculation puts the density at 7.041 g cm⁻³.

Unit cell a=7.305 b=7.305 c=7.305 alpha=30.49 beta=30.49 gamma=30.49
Fractional positions:
1 Nd 0.000 0.000 0.000
2 Tm 0.178 0.178 0.178
3 S 0.427 0.427 0.427
4 S 0.584 0.584 0.584

---

2.
A plane-wave DFT calculation with GGA-PBE was carried out for an optimized crystal structure of Li2PaCuTe4.

The space group is No. 10. The calculation puts the formation energy from raw total energies at -0.645 eV/atom. The calculation puts the density at 6.389 g cm⁻³.

Unit cell a=7.281 b=4.225 c=7.335 alpha=90.00 beta=109.39 gamma=90.00
Fractional positions:
1 Li 0.000 0.000 0.000
2 Li 0.500 0.500 0.000
3 Pa 0.000 0.500 0.500
4 Cu 0.500 0.000 0.500
5 Te 0.248 0.000 0.768
6 Te 0.280 0.500 0.279
7 Te 0.720 0.500 0.721
8 Te 0.752 0.000 0.232

---

3.
A plane-wave DFT calculation with GGA-PBE was carried out for an optimized crystal structure of PmSmAgBr.

The space group is No. 216. The calculation puts the formation energy from raw total energies at -0.468 eV/atom. The calculation puts the density at 7.659 g cm⁻³.

Unit cell a=5.291 b=5.291 c=5.291 alpha=60.00 beta=60.00 gamma=60.00
Fractional positions:
1 Pm 0.000 0.000 0.000
2 Sm 0.500 0.500 0.500
3 Ag 0.750 0.750 0.750
4 Br 0.250 0.250 0.250

---

4.
A plane-wave DFT calculation with GGA-PBE was carried out for an optimized crystal structure of Tb12AlTl3.

The value obtained for the energy of formation is -0.186 eV per atom. The space group is No. 123. The calculation puts the density at 9.303 g cm⁻³.

Unit cell a=4.841 b=4.841 c=19.401 alpha=90.00 beta=90.00 gamma=90.00
Fractional positions:
1 Tb 0.000 0.000 0.000
2 Tb 0.000 0.000 0.247
3 Tb 0.000 0.000 0.500
4 Tb 0.000 0.000 0.753
5 Tb 0.000 0.500 0.120
6 Tb 0.000 0.500 0.374
7 Tb 0.000 0.500 0.626
8 Tb 0.000 0.500 0.880
9 Tb 0.500 0.000 0.120
10 Tb 0.500 0.000 0.374
11 Tb 0.500 0.000 0.626
12 Tb 0.500 0.000 0.880
13 Al 0.500 0.500 0.000
14 Tl 0.500 0.500 0.248
15 Tl 0.500 0.500 0.500
16 Tl 0.500 0.500 0.752

---

5.
A plane-wave DFT calculation with GGA-PBE was carried out for an optimized crystal structure of KHg12Au6.

The value obtained for the energy of formation is 0.097 eV per atom. The space group is No. 204. As for the energy above the most stable polymorph in this dataset: 1.87 eV per formula unit. The calculation puts the density at 12.592 g cm⁻³.

Unit cell a=8.534 b=8.534 c=8.534 alpha=109.47 beta=109.47 gamma=109.47
Fractional positions:
1 K 0.000 0.000 0.000
2 Hg 0.031 0.779 0.252
3 Hg 0.221 0.252 0.473
4 Hg 0.221 0.748 0.969
5 Hg 0.252 0.031 0.779
6 Hg 0.252 0.473 0.221
7 Hg 0.473 0.221 0.252
8 Hg 0.527 0.779 0.748
9 Hg 0.748 0.527 0.779
10 Hg 0.748 0.969 0.221
11 Hg 0.779 0.252 0.031
12 Hg 0.779 0.748 0.527
13 Hg 0.969 0.221 0.748
14 Au 0.137 0.637 0.500
15 Au 0.363 0.500 0.863
16 Au 0.500 0.137 0.637
17 Au 0.500 0.863 0.363
18 Au 0.637 0.500 0.137
19 Au 0.863 0.363 0.500

---

6.
A plane-wave DFT calculation with GGA-PBE was carried out for an optimized crystal structure of AlOsAu2.

The value obtained for the energy of formation is 0.130 eV per atom. The space group is No. 35. The calculation puts the density at 15.500 g cm⁻³.

Unit cell a=2.831 b=2.831 c=9.162 alpha=90.00 beta=90.00 gamma=116.89
Fractional positions:
1 Al 0.000 0.000 0.000
2 Os 0.500 0.500 0.786
3 Au 0.000 0.000 0.517
4 Au 0.500 0.500 0.238

---

7.
A plane-wave DFT calculation with GGA-PBE was carried out for an optimized crystal structure of CsBi2Sb2.

The space group is No. 139. As for the energy above the most stable polymorph in this dataset: 0.20 eV per formula unit. The calculation puts the formation energy from raw total energies at -0.149 eV/atom. The calculation puts the density at 6.479 g cm⁻³.

Unit cell a=7.359 b=7.359 c=7.359 alpha=133.89 beta=133.89 gamma=67.26
Fractional positions:
1 Cs 0.000 0.000 0.000
2 Bi 0.250 0.750 0.500
3 Bi 0.750 0.250 0.500
4 Sb 0.354 0.354 0.000
5 Sb 0.646 0.646 0.000

---

8.
A plane-wave DFT calculation with GGA-PBE was carried out for an optimized crystal structure of YErTcPd.

The value obtained for the energy of formation is -0.377 eV per atom. The space group is No. 216. The calculation puts the density at 9.353 g cm⁻³.

Unit cell a=4.872 b=4.872 c=4.872 alpha=60.00 beta=60.00 gamma=60.00
Fractional positions:
1 Y 0.000 0.000 0.000
2 Er 0.500 0.500 0.500
3 Tc 0.250 0.250 0.250
4 Pd 0.750 0.750 0.750

---

9.
A plane-wave DFT calculation with GGA-PBE was carried out for an optimized crystal structure of LaSm2Sc3.

The value obtained for the energy of formation is 0.270 eV per atom. The space group is No. 164. The calculation puts the density at 5.163 g cm⁻³.

Unit cell a=6.778 b=6.778 c=9.290 alpha=90.00 beta=90.00 gamma=120.00
Fractional positions:
1 La 0.333 0.667 0.454
2 La 0.667 0.333 0.546
3 Sm 0.000 0.000 0.000
4 Sm 0.000 0.000 0.500
5 Sm 0.333 0.667 0.091
6 Sm 0.667 0.333 0.909
7 Sc 0.186 0.372 0.771
8 Sc 0.186 0.814 0.771
9 Sc 0.372 0.186 0.229
10 Sc 0.628 0.814 0.771
11 Sc 0.814 0.186 0.229
12 Sc 0.814 0.628 0.229

---

10.
A plane-wave DFT calculation with GGA-PBE was carried out for an optimized crystal structure of TbAlGaCu3.

The value obtained for the energy of formation is -0.144 eV per atom. The space group is No. 63. The calculation puts the density at 7.164 g cm⁻³.

Unit cell a=6.708 b=6.708 c=5.666 alpha=90.00 beta=90.00 gamma=125.77
Fractional positions:
1 Tb 0.198 0.802 0.750
2 Tb 0.802 0.198 0.250
3 Al 0.443 0.557 0.750
4 Al 0.557 0.443 0.250
5 Ga 0.145 0.855 0.250
6 Ga 0.855 0.145 0.750
7 Cu 0.200 0.200 0.000
8 Cu 0.200 0.200 0.500
9 Cu 0.353 0.647 0.250
10 Cu 0.647 0.353 0.750
11 Cu 0.800 0.800 0.000
12 Cu 0.800 0.800 0.500

---

11.
A plane-wave DFT calculation with GGA-PBE was carried out for an optimized crystal structure of Zr2HPdPt.

The space group is No. 123. As for the energy above the most stable polymorph in this dataset: 0.21 eV per formula unit. The calculation puts the density at 10.506 g cm⁻³.

Unit cell a=4.410 b=4.410 c=3.941 alpha=90.00 beta=90.00 gamma=90.00
Fractional positions:
1 Zr 0.000 0.500 0.000
2 Zr 0.500 0.000 0.000
3 H 0.000 0.000 0.000
4 Pd 0.500 0.500 0.500
5 Pt 0.000 0.000 0.500

---

12.
A plane-wave DFT calculation with GGA-PBE was carried out for an optimized crystal structure of CrInGa2Cl8.

The space group is No. 148. The calculation puts the formation energy from raw total energies at -0.920 eV/atom. The calculation puts the density at 2.928 g cm⁻³.

Unit cell a=10.060 b=10.060 c=10.060 alpha=37.26 beta=37.26 gamma=37.26
Fractional positions:
1 Cr 0.000 0.000 0.000
2 In 0.500 0.500 0.500
3 Ga 0.252 0.252 0.252
4 Ga 0.748 0.748 0.748
5 Cl 0.050 0.728 0.391
6 Cl 0.173 0.173 0.173
7 Cl 0.272 0.609 0.950
8 Cl 0.391 0.050 0.728
9 Cl 0.609 0.950 0.272
10 Cl 0.728 0.391 0.050
11 Cl 0.827 0.827 0.827
12 Cl 0.950 0.272 0.609

---

no.,total moment (μB per atom)
1,0.0000
2,0.0302
3,0.0021
4,0.0896
5,0.0000
6,0.0000
7,0.0000
8,0.0000
9,0.0024
10,0.0000
11,0.0000
12,0.4167